Below is an optimized crystal structure of LaInSb, with properties calculated at the GGA-PBE level.

Results
Raw formation energy: -0.5360 eV/atom
Excess energy over the best structure of this formula in the dataset: 0.052 eV/atom

Unit cell a=6.1997 b=6.1997 c=6.1997 alpha=142.41 beta=142.41 gamma=54.21
Sites, in units of the cell vectors:
La 0.0000 0.0000 0.0000
In 0.6916 0.6916 0.0000
Sb 0.3199 0.3199 0.0000